First-principles (GGA-PBEsol) data for a relaxed Fe2CoIr crystal, as listed in the Alexandria database.

Lattice parameters (Å, degrees): 2.5546 2.5546 8.2039 90.00 90.00 114.72
With the nearest neighbours (Å) after each atom.
Fractional coordinates of all 4 atoms:
Co1 0.5000 0.5000 0.2352  2 Fe 2.36, 4 Co 2.55, 2 Ir 2.58
Fe1 0.0000 0.0000 0.0017  2 Co 2.36, 6 Fe 2.40-2.55
Fe2 0.5000 0.5000 0.7621  6 Fe 2.40-2.55, 2 Ir 2.55
Ir1 0.0000 0.0000 0.5010  2 Fe 2.55, 6 Ir 2.55-2.76, 2 Co 2.58

Properties
- M_tot: 7.50 μB/cell
- D(E_F): 5.1 states/eV/cell
- Total DFT energy (no corrections): -8.69 eV/atom